Entry 1:
The following is a DFT calculation (PBE) of a relaxed structure of Li2PPb.

The structure belongs to space group Fm-3m (No. 225); the cell edges are 6.6498, 6.6498 and 6.6498 Å and the angles 90.00°, 90.00° and 90.00°. The distinct sites, in fractional coordinates, are Li at (0.2500, 0.2500, 0.2500), P at (0.0000, 0.0000, 0.0000) and Pb at (0.0000, 0.0000, 0.5000).

Its crystal system is cubic. The calculation puts the energy relative to the elements at -0.21 eV/atom. The polymorph energy (0 for the lowest one) is 116 meV per atom. The calculation puts the density of states at the Fermi level at 0.459 states/eV per atom.

=====

Entry 2:
The following is a DFT calculation (PBE) of a relaxed structure of YZnSe.

The structure belongs to space group F-43m (No. 216); the cell edges are 6.6722, 6.6722 and 6.6722 Å and the angles 90.00°, 90.00° and 90.00°. The distinct sites, in fractional coordinates, are Y at (0.0000, 0.0000, 0.0000), Zn at (0.2500, 0.2500, 0.2500) and Se at (0.0000, 0.0000, 0.5000).

Its crystal system is cubic. The polymorph energy (0 for the lowest one) is 477 meV per atom. Its uncorrected formation energy is -0.39 eV per atom. The calculation puts the density of states at the Fermi level at 0.340 states/eV per atom.

=====

Entry 3:
The following is a DFT calculation (PBE) of a relaxed structure of SrReN3.

The structure belongs to space group Pm (No. 6); the cell edges are 4.7062, 3.6104 and 4.9023 Å and the angles 90.00°, 104.94° and 90.00°. The distinct sites, in fractional coordinates, are Sr at (0.0000, 0.0000, 0.0000), Re at (0.4556, 0.5000, 0.5900), N at (0.0148, 0.5000, 0.3814), N at (0.4145, 0.0000, 0.7199) and N at (0.8179, 0.5000, 0.5206).

Its crystal system is monoclinic. Its uncorrected formation energy is -0.19 eV per atom. The calculation puts the density of states at the Fermi level at 0.239 states/eV per atom.

=====

Entry 4:
The following is a DFT calculation (PBE) of a relaxed structure of NdErOs.

The structure belongs to space group F-43m (No. 216); the cell edges are 6.8374, 6.8374 and 6.8374 Å and the angles 90.00°, 90.00° and 90.00°. The distinct sites, in fractional coordinates, are Nd at (0.0000, 0.0000, 0.0000), Er at (0.0000, 0.0000, 0.5000) and Os at (0.2500, 0.2500, 0.2500).

Its crystal system is cubic. The calculation puts the energy relative to the elements at -0.13 eV/atom. The polymorph energy (0 for the lowest one) is 17 meV per atom. The calculation puts the density of states at the Fermi level at 0.616 states/eV per atom.

=====

Copy entry 4 word for word.
The following is a DFT calculation (PBE) of a relaxed structure of NdErOs.

The structure belongs to space group F-43m (No. 216); the cell edges are 6.8374, 6.8374 and 6.8374 Å and the angles 90.00°, 90.00° and 90.00°. The distinct sites, in fractional coordinates, are Nd at (0.0000, 0.0000, 0.0000), Er at (0.0000, 0.0000, 0.5000) and Os at (0.2500, 0.2500, 0.2500).

Its crystal system is cubic. The calculation puts the energy relative to the elements at -0.13 eV/atom. The polymorph energy (0 for the lowest one) is 17 meV per atom. The calculation puts the density of states at the Fermi level at 0.616 states/eV per atom.

=====

Please write out number 1 again, unchanged.
The following is a DFT calculation (PBE) of a relaxed structure of Li2PPb.

The structure belongs to space group Fm-3m (No. 225); the cell edges are 6.6498, 6.6498 and 6.6498 Å and the angles 90.00°, 90.00° and 90.00°. The distinct sites, in fractional coordinates, are Li at (0.2500, 0.2500, 0.2500), P at (0.0000, 0.0000, 0.0000) and Pb at (0.0000, 0.0000, 0.5000).

Its crystal system is cubic. The calculation puts the energy relative to the elements at -0.21 eV/atom. The polymorph energy (0 for the lowest one) is 116 meV per atom. The calculation puts the density of states at the Fermi level at 0.459 states/eV per atom.